1.
VASP calculation (GGA-PBE) on a relaxed Pr2NdCd2Hg2 crystal.

Cell: 5.0159 5.0159 27.3789 Å, 90.00 90.00 120.00°
Space group R-3m (No. 166, hexagonal axes)
One atom of each set of equivalent atoms:
Pr: 0.0000 0.0000 0.1253
Nd: 0.0000 0.0000 0.0000
Cd: 0.0000 0.0000 0.2617
Hg: 0.0000 0.0000 0.3963

Properties
Energy of formation from the pure elements = -0.29 eV per atom

=====

2.
VASP calculation (GGA-PBE) on a relaxed Pm2Nd3DyHo6 crystal.

Cell: 6.223 10.775 11.808 Å, 90.00 100.08 90.00°
Space group C2/m (No. 12)
One atom of each set of equivalent atoms:
Pm: 0.000 0.167 0.000
Nd: 0.000 0.000 0.500
Nd: 0.000 0.333 0.500
Dy: 0.000 0.500 0.000
Ho: 0.249 0.334 0.248
Ho: 0.250 0.000 0.249

Properties
Energy of formation from the pure elements = 0.01 eV per atom

=====

3.
VASP calculation (GGA-PBE) on a relaxed BeHW2 crystal.

Cell: 5.710 5.710 5.445 Å, 90.00 90.00 90.00°
Space group I-42d (No. 122)
One atom of each set of equivalent atoms:
Be: 0.000 0.000 0.000
H: 0.000 0.000 0.500
W: 0.184 0.250 0.625

Properties
Distance to the lowest polymorph of the same formula = 0.000 eV/atom

=====

4.
VASP calculation (GGA-PBE) on a relaxed LiMnNbN3 crystal.

Cell: 6.076 3.119 8.369 Å, 90.00 105.49 90.00°
Space group P2_1/m (No. 11)
One atom of each set of equivalent atoms:
Li: 0.162 0.250 0.119
Mn: 0.035 0.250 0.614
Nb: 0.335 0.750 0.859
N: 0.084 0.250 0.845
N: 0.191 0.750 0.589
N: 0.425 0.750 0.119

Properties
Formation energy without anion corrections = -0.547 eV/atom

=====

5.
VASP calculation (GGA-PBE) on a relaxed SiHg2As crystal.

Cell: 7.015 7.015 7.015 Å, 90.00 90.00 90.00°
Space group F-43m (No. 216)
One atom of each set of equivalent atoms:
Si: 0.000 0.000 0.000
Hg: 0.000 0.000 0.500
Hg: 0.250 0.250 0.250
As: 0.250 0.250 0.750

Properties
Distance to the lowest polymorph of the same formula = 0.390 eV/atom
Formation energy without anion corrections = 0.490 eV/atom

=====

6.
VASP calculation (GGA-PBE) on a relaxed Hf6NbIr5 crystal.

Cell: 4.623 13.891 6.643 Å, 90.00 90.00 90.00°
Space group Cmmm (No. 65)
One atom of each set of equivalent atoms:
Hf: 0.000 0.000 0.248
Hf: 0.000 0.333 0.249
Nb: 0.000 0.500 0.500
Ir: 0.000 0.168 0.000
Ir: 0.000 0.169 0.500
Ir: 0.000 0.500 0.000

Properties
Energy of formation from the pure elements = -0.82 eV per atom

=====

7.
VASP calculation (GGA-PBE) on a relaxed La3Pr2Rh3 crystal.

Cell: 12.977 5.752 14.076 Å, 90.00 90.06 90.00°
Space group Cm (No. 8)
One atom of each set of equivalent atoms:
La: 0.000 0.000 0.000
La: 0.002 0.000 0.737
La: 0.107 0.000 0.497
La: 0.300 0.500 0.368
La: 0.308 0.000 0.867
La: 0.392 0.000 0.186
Pr: 0.111 0.000 0.235
Pr: 0.216 0.500 0.051
Pr: 0.219 0.500 0.683
Pr: 0.390 0.000 0.555
Rh: 0.203 0.000 0.677
Rh: 0.206 0.000 0.056
Rh: 0.274 0.000 0.372
Rh: 0.339 0.500 0.867
Rh: 0.400 0.500 0.177
Rh: 0.405 0.500 0.558

Properties
Energy of formation from the pure elements = -0.51 eV per atom

=====

8.
VASP calculation (GGA-PBE) on a relaxed CdTcAs2 crystal.

Cell: 3.0931 3.0931 27.1353 Å, 90.00 90.00 120.00°
Space group R3m (No. 160, hexagonal axes)
One atom of each set of equivalent atoms:
Cd: 0.0000 0.0000 0.0000
Tc: 0.0000 0.0000 0.7522
As: 0.0000 0.0000 0.2332
As: 0.0000 0.0000 0.4803

Properties
Energy of formation from the pure elements = 0.21 eV per atom